This record from Alexandria via LeMat-Bulk describes a geometry-optimized Sc3FeCu structure. The functional is PBE-GGA.

Calculated values
SG: Pm-3m, No. 221
Polymorph energy (0 for the lowest one): 0 meV per atom

Lattice parameters (Å, degrees): 4.761 4.761 4.761 90.00 90.00 90.00
Atoms (fractional coordinates):
Sc1 0.000 0.500 0.000
Sc2 0.000 0.000 0.500
Sc3 0.500 0.000 0.000
Fe1 0.000 0.000 0.000
Cu1 0.500 0.500 0.500



This record from Alexandria via LeMat-Bulk describes a geometry-optimized ScFeCu2 structure. The functional is PBE-GGA.

Calculated values
SG: P2/m, No. 10

Lattice parameters (Å, degrees): 3.611 2.920 6.175 61.63 90.00 90.00
Atoms (fractional coordinates):
Cu1 0.000 0.974 0.025
Cu2 0.000 0.526 0.475
Fe1 0.500 0.250 0.250
Sc1 0.500 0.750 0.750



This record from Alexandria via LeMat-Bulk describes a geometry-optimized Sc4FeCu3 structure. The functional is PBE-GGA.

Calculated values
SG: P4/mmm, No. 123

Lattice parameters (Å, degrees): 3.205 3.205 13.045 90.00 90.00 90.00
Atoms (fractional coordinates):
Sc1 0.000 0.000 0.886
Sc2 0.000 0.000 0.114
Sc3 0.000 0.000 0.372
Sc4 0.000 0.000 0.628
Fe1 0.500 0.500 0.000
Cu1 0.500 0.500 0.246
Cu2 0.500 0.500 0.500
Cu3 0.500 0.500 0.754



This record from Alexandria via LeMat-Bulk describes a geometry-optimized ScFeCu2 structure. The functional is PBE-GGA.

Calculated values
SG: P4mm, No. 99

Lattice parameters (Å, degrees): 3.148 3.148 5.823 90.00 90.00 90.00
Atoms (fractional coordinates):
Cu1 0.000 0.000 0.034
Cu2 0.500 0.500 0.250
Fe1 0.000 0.000 0.466
Sc1 0.500 0.500 0.750



This record from Alexandria via LeMat-Bulk describes a geometry-optimized Sc2FeCu structure. The functional is PBE-GGA.

Calculated values
SG: P4/mmm, No. 123
Polymorph energy (0 for the lowest one): 54 meV per atom

Lattice parameters (Å, degrees): 4.462 3.236 4.463 89.99 90.00 90.00
Atoms (fractional coordinates):
Cu1 0.000 0.625 0.375
Fe1 0.500 0.625 0.875
Sc1 0.000 0.125 0.875
Sc2 0.500 0.125 0.375



This record from Alexandria via LeMat-Bulk describes a geometry-optimized Sc2FeCu structure. The functional is PBE-GGA.

Calculated values
SG: Fm-3m, No. 225
Polymorph energy (0 for the lowest one): 38 meV per atom

Lattice parameters (Å, degrees): 4.496 4.496 4.496 60.00 60.00 60.00
Atoms (fractional coordinates):
Sc1 0.250 0.250 0.250
Sc2 0.750 0.750 0.750
Fe1 0.000 0.000 0.000
Cu1 0.500 0.500 0.500



This record from Alexandria via LeMat-Bulk describes a geometry-optimized ScFeCu2 structure. The functional is PBE-GGA.

Calculated values
SG: Cmmm, No. 65

Lattice parameters (Å, degrees): 4.543 4.543 2.934 89.96 89.96 109.93
Atoms (fractional coordinates):
Cu1 0.000 0.000 0.000
Cu2 0.500 0.500 0.000
Fe1 0.500 0.000 0.500
Sc1 0.000 0.500 0.500



This record from Alexandria via LeMat-Bulk describes a geometry-optimized Sc8FeCu2 structure. The functional is PBE-GGA.

Calculated values
SG: C2/m, No. 12
Polymorph energy (0 for the lowest one): 0 meV per atom

Lattice parameters (Å, degrees): 4.760 6.233 8.212 108.26 106.85 90.00
Atoms (fractional coordinates):
Sc1 0.407 0.567 0.813
Sc2 0.664 0.967 0.328
Sc3 0.805 0.699 0.610
Sc4 0.971 0.204 0.942
Sc5 0.195 0.301 0.390
Sc6 0.336 0.033 0.672
Sc7 0.593 0.433 0.187
Sc8 0.029 0.796 0.058
Fe1 0.500 0.000 0.000
Cu1 0.818 0.297 0.636
Cu2 0.182 0.703 0.364



Taking the records one at a time from the top gives ΔH_f (0 K) values of 17.2; 2.1; -22.7; -1.4; -14.3; -15.9; 8.8; -14.8 kJ per mole of atoms.
Taking the records one at a time from the top gives N(E_F) values of 4.3; 3.2; 7.7; 2.8; 3.6; 3.8; 3.4; 7.5 states/eV/cell.
Taking the records one at a time from the top gives final energy values of -6.13; -5.72; -6.00; -5.76; -6.45; -6.47; -5.66; -6.27 eV/atom.